1.
Hf2Al2Ni: relaxed, PBE.

ΔE_f = -428 meV/atom
Energy = -70.6 eV/cell
DOS(E_F) = 0.901 states/eV/cell
Total magnetic moment = 0.0 μB per formula unit

Cell lengths 6.295, 6.295, 4.371 Å; angles 90.00, 90.00, 90.00 degrees
Space group P4/mbm (No. 127)
Inequivalent atoms, fractional coordinates:
Hf (0.169, 0.331, 0.000) (multiplicity 4)
Al (0.144, 0.644, 0.500) (multiplicity 4)
Ni (0.000, 0.000, 0.500) (multiplicity 2)

***

2.
Ac2Bi4PtRh3: relaxed, PBE.

ΔE_f = -559 meV/atom
Energy = -57.4 eV/cell
DOS(E_F) = 7.013 states/eV/cell
Total magnetic moment = 0.0 μB per formula unit

Cell lengths 4.859, 4.859, 10.665 Å; angles 90.00, 90.00, 90.00 degrees
Space group P-4m2 (No. 115)
Inequivalent atoms, fractional coordinates:
Ac (0.000, 0.500, 0.236) (multiplicity 2)
Bi (0.000, 0.000, 0.500) (multiplicity 1)
Bi (0.000, 0.500, 0.872) (multiplicity 2)
Bi (0.500, 0.500, 0.500) (multiplicity 1)
Pt (0.500, 0.500, 0.000) (multiplicity 1)
Rh (0.000, 0.000, 0.000) (multiplicity 1)
Rh (0.000, 0.500, 0.623) (multiplicity 2)

***

3.
La6YAl: relaxed, PBE.

ΔE_f = -66 meV/atom
Energy = -40.3 eV/cell
DOS(E_F) = 10.608 states/eV/cell
Total magnetic moment = 0.0 μB per formula unit

Cell lengths 5.074, 5.074, 10.344 Å; angles 90.00, 90.00, 90.00 degrees
Space group P4/mmm (No. 123)
Inequivalent atoms, fractional coordinates:
La (0.000, 0.000, 0.000) (multiplicity 1)
La (0.000, 0.000, 0.500) (multiplicity 1)
La (0.000, 0.500, 0.238) (multiplicity 4)
Y (0.500, 0.500, 0.500) (multiplicity 1)
Al (0.500, 0.500, 0.000) (multiplicity 1)